## MgMn6O4F8 (PBE+U)

Data for an optimized crystal structure of MgMn6O4F8.

Computed properties:
Spin magnetization ... 28.00 μB per cell
E above lowest polymorph ... 0 kJ/mol of formula units

Structure (POSCAR):
```
MgMn6O4F8
1.0
5.312 0.008 0.001
-0.569 -5.710 0.002
-0.628 0.006 -7.929
Mg Mn O F
1 6 4 8
Direct
0.027 0.366 0.187
0.522 0.489 0.981
0.561 0.246 0.359
0.461 0.803 0.661
0.820 0.802 0.380
0.016 0.296 0.668
0.029 0.930 0.009
0.834 0.036 0.217
0.732 0.539 0.224
0.712 0.028 0.547
0.303 0.536 0.759
0.746 0.550 0.555
0.864 0.304 0.928
0.707 0.801 0.864
0.220 0.822 0.461
0.320 0.201 0.114
0.198 0.334 0.420
0.221 0.025 0.786
0.222 0.653 0.106
```